Entry from Alexandria via LeMat-Bulk: a geometry-optimized Pa2Te2C structure (PBE).

Unit cell a=6.9573 b=6.9573 c=11.4860 alpha=123.05 beta=123.05 gamma=32.85
Positions (direct):
Pa 0.0258 0.0258 0.1701
Pa 0.1795 0.1795 0.5691
Pa 0.8205 0.8205 0.4309
Pa 0.9742 0.9742 0.8299
Te 0.3350 0.3350 0.9119
Te 0.4611 0.4611 0.3301
Te 0.5389 0.5389 0.6699
Te 0.6650 0.6650 0.0881
C 0.2060 0.2060 0.3851
C 0.7940 0.7940 0.6149

Summary:
Magnetic moment (μB/cell): 2.511
Offset from the most stable computed form (meV/atom): 0
Formation energy from raw total energies (eV/f.u.): -3.81
Space group: No. 12